This record from Alexandria describes a geometry-optimized RbSnGeBr5 structure. The functional is PBE-GGA.

Values from the calculation:
Energy relative to the elements, uncorrected (eV/f.u.): -7.45

Unit cell a=7.938 b=7.938 c=11.755 alpha=109.94 beta=109.94 gamma=96.11
Fractional positions:
Br: 0.882 0.351 0.082
Br: 0.118 0.649 0.918
Br: 0.973 0.027 0.750
Br: 0.351 0.882 0.582
Br: 0.649 0.118 0.418
Br: 0.027 0.973 0.250
Br: 0.225 0.396 0.596
Br: 0.396 0.225 0.096
Br: 0.775 0.604 0.404
Br: 0.604 0.775 0.904
Rb: 0.674 0.326 0.750
Rb: 0.326 0.674 0.250
Sn: 0.000 0.000 0.500
Sn: 0.000 0.000 0.000
Ge: 0.734 0.266 0.250
Ge: 0.266 0.734 0.750